A plane-wave DFT calculation with PBE was carried out for a relaxed Ta2AgRu2 crystal.

Values from the calculation:
E_form, eV per atom: -0.07
N(E_F), states/eV/atom: 0.7091
Calculated volume, A^3/atom: 17.027
SG: P4/mbm (127)
Spin magnetization, μB/f.u.: 0.00

Cell: 7.501 7.501 3.026 Å, 90.00 90.00 90.00°
Sites, in units of the cell vectors:
Ag (0.500, 0.500, 0.000)
Ag (0.000, 0.000, 0.000)
Ru (0.140, 0.360, 0.000)
Ta (0.344, 0.156, 0.500)
Ta (0.156, 0.656, 0.500)
Ru (0.860, 0.640, 0.000)
Ru (0.360, 0.860, 0.000)
Ru (0.640, 0.140, 0.000)
Ta (0.656, 0.844, 0.500)
Ta (0.844, 0.344, 0.500)